1.
ScCuRh2 | PBE | optimized geometry

Summary:
Calculated volume, A^3/atom: 15.53
Total DFT energy (no corrections), eV/atom: -6.49
ΔH_f (0 K), meV/atom: -207

CIF file:
```
data_ScCuRh2
_symmetry_space_group_name_H-M 'R -3 m'
_symmetry_Int_Tables_number 166
_symmetry_space_group_name_Hall '-R 3 2"'
_cell_length_a 2.9724
_cell_length_b 2.9724
_cell_length_c 24.3604
_cell_angle_alpha 90.00
_cell_angle_beta 90.00
_cell_angle_gamma 120.00
loop_
_atom_site_label
_atom_site_type_symbol
_atom_site_fract_x
_atom_site_fract_y
_atom_site_fract_z
_atom_site_occupancy
Sc1 Sc 0.0000 0.0000 0.0000 1
Cu1 Cu 0.0000 0.0000 0.5000 1
Rh1 Rh 0.0000 0.0000 0.2497 1
```

=====

2.
SiBr2 | PBE | optimized geometry

Summary:
Calculated volume, A^3/atom: 36.51
Total DFT energy (no corrections), eV/atom: -3.15
Formation energy (no corrections), meV per atom: -226

CIF file:
```
data_SiBr2
_symmetry_space_group_name_H-M 'C 1 2/m 1'
_symmetry_Int_Tables_number 12
_symmetry_space_group_name_Hall '-C 2y'
_cell_length_a 14.945
_cell_length_b 3.580
_cell_length_c 9.027
_cell_angle_alpha 90.00
_cell_angle_beta 114.88
_cell_angle_gamma 90.00
loop_
_atom_site_label
_atom_site_type_symbol
_atom_site_fract_x
_atom_site_fract_y
_atom_site_fract_z
_atom_site_occupancy
Si1 Si 0.015 0.000 0.361 1
Br1 Br 0.116 0.500 0.283 1
Br2 Br 0.124 0.500 0.763 1
```

=====

3.
SrScBeH2 | PBE | optimized geometry

Summary:
Calculated volume, A^3/atom: 20.28
Total DFT energy (no corrections), eV/atom: -2.37

CIF file:
```
data_SrScBeH2
_symmetry_space_group_name_H-M 'P 4/m m m'
_symmetry_Int_Tables_number 123
_symmetry_space_group_name_Hall '-P 4 2'
_cell_length_a 4.243
_cell_length_b 4.243
_cell_length_c 5.633
_cell_angle_alpha 90.00
_cell_angle_beta 90.00
_cell_angle_gamma 90.00
loop_
_atom_site_label
_atom_site_type_symbol
_atom_site_fract_x
_atom_site_fract_y
_atom_site_fract_z
_atom_site_occupancy
Sr1 Sr 0.000 0.000 0.000 1
Sc1 Sc 0.500 0.500 0.000 1
Be1 Be 0.000 0.000 0.500 1
H1 H 0.000 0.500 0.500 1
```

=====

4.
CsSc2MnPt | PBE | optimized geometry

Summary:
Calculated volume, A^3/atom: 34.21
Total DFT energy (no corrections), eV/atom: -5.20
ΔH_f (0 K), meV/atom: 543

CIF file:
```
data_CsSc2MnPt
_symmetry_space_group_name_H-M 'P 4/m m m'
_symmetry_Int_Tables_number 123
_symmetry_space_group_name_Hall '-P 4 2'
_cell_length_a 5.142
_cell_length_b 5.142
_cell_length_c 6.468
_cell_angle_alpha 90.00
_cell_angle_beta 90.00
_cell_angle_gamma 90.00
loop_
_atom_site_label
_atom_site_type_symbol
_atom_site_fract_x
_atom_site_fract_y
_atom_site_fract_z
_atom_site_occupancy
Cs1 Cs 0.000 0.000 0.000 1
Sc1 Sc 0.000 0.500 0.500 1
Mn1 Mn 0.500 0.500 0.000 1
Pt1 Pt 0.000 0.000 0.500 1
```

=====

5.
KBa2Na2Sb2 | PBE | optimized geometry

Summary:
Calculated volume, A^3/atom: 38.04
Total DFT energy (no corrections), eV/atom: -2.86
Formation energy (no corrections), meV per atom: -596

CIF file:
```
data_KBa2Na2Sb2
_symmetry_space_group_name_H-M 'R -3 m'
_symmetry_Int_Tables_number 166
_symmetry_space_group_name_Hall '-R 3 2"'
_cell_length_a 5.4678
_cell_length_b 5.4678
_cell_length_c 30.8568
_cell_angle_alpha 90.00
_cell_angle_beta 90.00
_cell_angle_gamma 120.00
loop_
_atom_site_label
_atom_site_type_symbol
_atom_site_fract_x
_atom_site_fract_y
_atom_site_fract_z
_atom_site_occupancy
K1 K 0.0000 0.0000 0.0000 1
Ba1 Ba 0.0000 0.0000 0.1274 1
Na1 Na 0.0000 0.0000 0.3871 1
Sb1 Sb 0.0000 0.0000 0.2577 1
```

=====

6.
ReAsW2 | PBE | optimized geometry

Summary:
Calculated volume, A^3/atom: 15.62
Total DFT energy (no corrections), eV/atom: -10.25
ΔH_f (0 K), meV/atom: 500

CIF file:
```
data_ReAsW2
_symmetry_space_group_name_H-M 'I -4 m 2'
_symmetry_Int_Tables_number 119
_symmetry_space_group_name_Hall 'I -4 -2'
_cell_length_a 3.771
_cell_length_b 3.771
_cell_length_c 8.791
_cell_angle_alpha 90.00
_cell_angle_beta 90.00
_cell_angle_gamma 90.00
loop_
_atom_site_label
_atom_site_type_symbol
_atom_site_fract_x
_atom_site_fract_y
_atom_site_fract_z
_atom_site_occupancy
Re1 Re 0.000 0.000 0.000 1
As1 As 0.000 0.500 0.250 1
W1 W 0.000 0.000 0.500 1
W2 W 0.000 0.500 0.750 1
```

=====

7.
SbRhBr2 | PBE | optimized geometry

Summary:
Calculated volume, A^3/atom: 28.16
Total DFT energy (no corrections), eV/atom: -3.73
Excess energy over the best structure of this formula in the dataset, eV/atom: 0.418
Formation energy (no corrections), meV per atom: -24

CIF file:
```
data_SbRhBr2
_symmetry_space_group_name_H-M 'C 1 2/m 1'
_symmetry_Int_Tables_number 12
_symmetry_space_group_name_Hall '-C 2y'
_cell_length_a 15.825
_cell_length_b 3.628
_cell_length_c 3.987
_cell_angle_alpha 90.00
_cell_angle_beta 100.24
_cell_angle_gamma 90.00
loop_
_atom_site_label
_atom_site_type_symbol
_atom_site_fract_x
_atom_site_fract_y
_atom_site_fract_z
_atom_site_occupancy
Sb1 Sb 0.000 0.000 0.000 1
Rh1 Rh 0.000 0.500 0.500 1
Br1 Br 0.151 0.000 0.715 1
```

=====

8.
PmTmCo | PBE | optimized geometry

Summary:
Calculated volume, A^3/atom: 25.57
Total DFT energy (no corrections), eV/atom: -5.57
ΔH_f (0 K), meV/atom: -125
Excess energy over the best structure of this formula in the dataset, eV/atom: 0.000

CIF file:
```
data_PmTmCo
_symmetry_space_group_name_H-M 'P 1 21/m 1'
_symmetry_Int_Tables_number 11
_symmetry_space_group_name_Hall '-P 2yb'
_cell_length_a 5.616
_cell_length_b 3.817
_cell_length_c 7.200
_cell_angle_alpha 90.00
_cell_angle_beta 96.22
_cell_angle_gamma 90.00
loop_
_atom_site_label
_atom_site_type_symbol
_atom_site_fract_x
_atom_site_fract_y
_atom_site_fract_z
_atom_site_occupancy
Pm1 Pm 0.188 0.250 0.328 1
Tm1 Tm 0.340 0.250 0.844 1
Co1 Co 0.136 0.750 0.046 1
```